Record 1
## MoHRuRh2 (PBE)

Data for a geometry-optimized MoHRuRh2 structure.

a = 3.844 Å, b = 3.844 Å, c = 4.060 Å
α = 90.00°, β = 90.00°, γ = 90.00°
Atoms (fractional coordinates):
Mo1 0.000 0.000 0.000
H1 0.000 0.000 0.500
Ru1 0.500 0.500 0.000
Rh1 0.000 0.500 0.500
Rh2 0.500 0.000 0.500

Output
Calculated density, g cm⁻³: 11.2
Space-group type: P4/mmm
Magnetic moment, μB/atom: 0.00
Polymorph energy (0 for the lowest one), meV/atom: 36
Crystal system: tetragonal

Record 2
## MoHRuRh2 (PBE)

Data for a geometry-optimized MoHRuRh2 structure.

a = 3.874 Å, b = 3.874 Å, c = 3.987 Å
α = 90.00°, β = 90.00°, γ = 90.00°
Atoms (fractional coordinates):
Mo1 0.000 0.000 0.000
H1 0.500 0.500 0.500
Ru1 0.500 0.500 0.000
Rh1 0.000 0.500 0.500
Rh2 0.500 0.000 0.500

Output
Calculated density, g cm⁻³: 11.2
Space-group type: P4/mmm
Magnetic moment, μB/atom: 0.00
Polymorph energy (0 for the lowest one), meV/atom: 0
Crystal system: tetragonal

Record 3
## SiMoH2Rh (PBE)

Data for a geometry-optimized SiMoH2Rh structure.

a = 3.463 Å, b = 3.463 Å, c = 4.857 Å
α = 90.00°, β = 90.00°, γ = 90.00°
Atoms (fractional coordinates):
Si1 0.000 0.000 0.000
Mo1 0.000 0.000 0.500
H1 0.000 0.500 0.500
H2 0.500 0.000 0.500
Rh1 0.500 0.500 0.000

Output
Calculated density, g cm⁻³: 6.5
Space-group type: P4/mmm
Magnetic moment, μB/atom: 0.13
Energy, eV/f.u.: -28.3
Crystal system: tetragonal

Record 4
## SnMo2HRh (PBE)

Data for a geometry-optimized SnMo2HRh structure.

a = 3.869 Å, b = 3.869 Å, c = 4.573 Å
α = 90.00°, β = 90.00°, γ = 90.00°
Atoms (fractional coordinates):
Sn1 0.000 0.000 0.000
Mo1 0.000 0.500 0.500
Mo2 0.500 0.000 0.500
H1 0.500 0.500 0.500
Rh1 0.500 0.500 0.000

Output
Calculated density, g cm⁻³: 10.1
Space-group type: P4/mmm
Magnetic moment, μB/atom: 0.00
Energy, eV/f.u.: -36.3
Crystal system: tetragonal

Record 5
## SrMoHRh2 (PBE)

Data for a geometry-optimized SrMoHRh2 structure.

a = 4.409 Å, b = 4.409 Å, c = 3.971 Å
α = 90.00°, β = 90.00°, γ = 90.00°
Atoms (fractional coordinates):
Sr1 0.000 0.000 0.000
Mo1 0.500 0.500 0.000
H1 0.500 0.500 0.500
Rh1 0.000 0.500 0.500
Rh2 0.500 0.000 0.500

Output
Calculated density, g cm⁻³: 8.4
Space-group type: P4/mmm
Magnetic moment, μB/atom: 0.53
Energy, eV/f.u.: -28.7
Crystal system: tetragonal

Record 6
## TaMo2HRh (PBE)

Data for a geometry-optimized TaMo2HRh structure.

a = 3.945 Å, b = 3.945 Å, c = 4.251 Å
α = 90.00°, β = 90.00°, γ = 90.00°
Atoms (fractional coordinates):
Ta1 0.000 0.000 0.000
Mo1 0.000 0.500 0.500
Mo2 0.500 0.000 0.500
H1 0.000 0.000 0.500
Rh1 0.500 0.500 0.000

Output
Calculated density, g cm⁻³: 12.0
Space-group type: P4/mmm
Magnetic moment, μB/atom: 0.00
Polymorph energy (0 for the lowest one), meV/atom: 7
Crystal system: tetragonal

Record 7
## Ta2MoHRh (PBE)

Data for a geometry-optimized Ta2MoHRh structure.

a = 4.424 Å, b = 4.424 Å, c = 3.507 Å
α = 90.00°, β = 90.00°, γ = 90.00°
Atoms (fractional coordinates):
Ta1 0.000 0.500 0.000
Ta2 0.500 0.000 0.000
Mo1 0.000 0.000 0.500
H1 0.500 0.500 0.000
Rh1 0.500 0.500 0.500

Output
Calculated density, g cm⁻³: 13.6
Space-group type: P4/mmm
Magnetic moment, μB/atom: 0.00
Polymorph energy (0 for the lowest one), meV/atom: 0
Crystal system: tetragonal

Record 8
## Ta2MoHRh (PBE)

Data for a geometry-optimized Ta2MoHRh structure.

a = 4.351 Å, b = 4.351 Å, c = 3.634 Å
α = 90.00°, β = 90.00°, γ = 90.00°
Atoms (fractional coordinates):
Ta1 0.000 0.500 0.000
Ta2 0.500 0.000 0.000
Mo1 0.000 0.000 0.500
H1 0.000 0.000 0.000
Rh1 0.500 0.500 0.500

Output
Calculated density, g cm⁻³: 13.6
Space-group type: P4/mmm
Magnetic moment, μB/atom: 0.00
Polymorph energy (0 for the lowest one), meV/atom: 57
Crystal system: tetragonal

Record 9
## TaMo2HRh (PBE)

Data for a geometry-optimized TaMo2HRh structure.

a = 3.955 Å, b = 3.955 Å, c = 4.226 Å
α = 90.00°, β = 90.00°, γ = 90.00°
Atoms (fractional coordinates):
Ta1 0.000 0.000 0.000
Mo1 0.000 0.500 0.500
Mo2 0.500 0.000 0.500
H1 0.500 0.500 0.500
Rh1 0.500 0.500 0.000

Output
Calculated density, g cm⁻³: 12.0
Space-group type: P4/mmm
Magnetic moment, μB/atom: 0.00
Polymorph energy (0 for the lowest one), meV/atom: 0
Crystal system: tetragonal

Record 10
## TcMo2HRh (PBE)

Data for a geometry-optimized TcMo2HRh structure.

a = 4.016 Å, b = 4.016 Å, c = 3.862 Å
α = 90.00°, β = 90.00°, γ = 90.00°
Atoms (fractional coordinates):
Tc1 0.000 0.000 0.000
Mo1 0.000 0.500 0.500
Mo2 0.500 0.000 0.500
H1 0.500 0.500 0.500
Rh1 0.500 0.500 0.000

Output
Calculated density, g cm⁻³: 10.5
Space-group type: P4/mmm
Magnetic moment, μB/atom: 0.00
Energy, eV/f.u.: -42.8
Crystal system: tetragonal

Record 11
## TcMoHRh2 (PBE)

Data for a geometry-optimized TcMoHRh2 structure.

a = 3.862 Å, b = 3.862 Å, c = 4.045 Å
α = 90.00°, β = 90.00°, γ = 90.00°
Atoms (fractional coordinates):
Tc1 0.000 0.000 0.000
Mo1 0.500 0.500 0.000
H1 0.000 0.000 0.500
Rh1 0.000 0.500 0.500
Rh2 0.500 0.000 0.500

Output
Calculated density, g cm⁻³: 11.0
Space-group type: P4/mmm
Magnetic moment, μB/atom: 0.00
Polymorph energy (0 for the lowest one), meV/atom: 0
Crystal system: tetragonal

Record 12
## TcMo2HRh (PBE)

Data for a geometry-optimized TcMo2HRh structure.

a = 3.993 Å, b = 3.993 Å, c = 3.907 Å
α = 90.00°, β = 90.00°, γ = 90.00°
Atoms (fractional coordinates):
Tc1 0.000 0.000 0.000
Mo1 0.000 0.500 0.500
Mo2 0.500 0.000 0.500
H1 0.000 0.000 0.500
Rh1 0.500 0.500 0.000

Output
Calculated density, g cm⁻³: 10.5
Space-group type: P4/mmm
Magnetic moment, μB/atom: 0.00
Energy, eV/f.u.: -42.8
Crystal system: tetragonal

Record 13
## TcMoHRh2 (PBE)

Data for a geometry-optimized TcMoHRh2 structure.

a = 3.850 Å, b = 3.850 Å, c = 4.080 Å
α = 90.00°, β = 90.00°, γ = 90.00°
Atoms (fractional coordinates):
Tc1 0.000 0.000 0.000
Mo1 0.500 0.500 0.000
H1 0.500 0.500 0.500
Rh1 0.000 0.500 0.500
Rh2 0.500 0.000 0.500

Output
Calculated density, g cm⁻³: 11.0
Space-group type: P4/mmm
Magnetic moment, μB/atom: 0.00
Polymorph energy (0 for the lowest one), meV/atom: 33
Crystal system: tetragonal

Record 14
## TeMo2HRh (PBE)

Data for a geometry-optimized TeMo2HRh structure.

a = 4.901 Å, b = 4.901 Å, c = 5.087 Å
α = 90.00°, β = 90.00°, γ = 90.00°
Atoms (fractional coordinates):
Te1 0.000 0.000 0.000
Mo1 0.000 0.500 0.500
Mo2 0.500 0.000 0.500
H1 0.500 0.500 0.000
Rh1 0.000 0.000 0.500

Output
Calculated density, g cm⁻³: 5.8
Space-group type: P4/mmm
Magnetic moment, μB/atom: 0.98
Energy, eV/f.u.: -26.0
Crystal system: tetragonal

Record 15
## TiMoHRh2 (PBE)

Data for a geometry-optimized TiMoHRh2 structure.

a = 3.915 Å, b = 3.915 Å, c = 4.002 Å
α = 90.00°, β = 90.00°, γ = 90.00°
Atoms (fractional coordinates):
Ti1 0.000 0.000 0.000
Mo1 0.500 0.500 0.000
H1 0.000 0.000 0.500
Rh1 0.000 0.500 0.500
Rh2 0.500 0.000 0.500

Output
Calculated density, g cm⁻³: 9.5
Space-group type: P4/mmm
Magnetic moment, μB/atom: 0.00
Polymorph energy (0 for the lowest one), meV/atom: 0
Crystal system: tetragonal

Record 16
## Ti2MoHRh (PBE)

Data for a geometry-optimized Ti2MoHRh structure.

a = 4.360 Å, b = 4.360 Å, c = 3.401 Å
α = 90.00°, β = 90.00°, γ = 90.00°
Atoms (fractional coordinates):
Ti1 0.000 0.500 0.000
Ti2 0.500 0.000 0.000
Mo1 0.000 0.000 0.500
H1 0.000 0.000 0.000
Rh1 0.500 0.500 0.500

Output
Calculated density, g cm⁻³: 7.6
Space-group type: P4/mmm
Magnetic moment, μB/atom: 0.00
Polymorph energy (0 for the lowest one), meV/atom: 0
Crystal system: tetragonal

Record 17
## Ti2MoHRh (PBE)

Data for a geometry-optimized Ti2MoHRh structure.

a = 4.374 Å, b = 4.374 Å, c = 3.373 Å
α = 90.00°, β = 90.00°, γ = 90.00°
Atoms (fractional coordinates):
Ti1 0.000 0.500 0.000
Ti2 0.500 0.000 0.000
Mo1 0.000 0.000 0.500
H1 0.500 0.500 0.000
Rh1 0.500 0.500 0.500

Output
Calculated density, g cm⁻³: 7.6
Space-group type: P4/mmm
Magnetic moment, μB/atom: 0.00
Polymorph energy (0 for the lowest one), meV/atom: 15
Crystal system: tetragonal

Record 18
## TiMoHRh2 (PBE)

Data for a geometry-optimized TiMoHRh2 structure.

a = 3.926 Å, b = 3.926 Å, c = 4.008 Å
α = 90.00°, β = 90.00°, γ = 90.00°
Atoms (fractional coordinates):
Ti1 0.000 0.000 0.000
Mo1 0.500 0.500 0.000
H1 0.500 0.500 0.500
Rh1 0.000 0.500 0.500
Rh2 0.500 0.000 0.500

Output
Calculated density, g cm⁻³: 9.4
Space-group type: P4/mmm
Magnetic moment, μB/atom: 0.00
Polymorph energy (0 for the lowest one), meV/atom: 19
Crystal system: tetragonal

Record 19
## TlMoHRh2 (PBE)

Data for a geometry-optimized TlMoHRh2 structure.

a = 5.080 Å, b = 5.080 Å, c = 3.204 Å
α = 90.00°, β = 90.00°, γ = 90.00°
Atoms (fractional coordinates):
Tl1 0.000 0.000 0.000
Mo1 0.500 0.500 0.500
H1 0.000 0.000 0.500
Rh1 0.000 0.500 0.000
Rh2 0.500 0.000 0.000

Output
Calculated density, g cm⁻³: 10.2
Space-group type: P4/mmm
Magnetic moment, μB/atom: 0.25
Energy, eV/f.u.: -24.7
Crystal system: tetragonal

Record 20
## VMo2HRh (PBE)

Data for a geometry-optimized VMo2HRh structure.

a = 3.952 Å, b = 3.952 Å, c = 3.937 Å
α = 90.00°, β = 90.00°, γ = 90.00°
Atoms (fractional coordinates):
V1 0.000 0.000 0.000
Mo1 0.000 0.500 0.500
Mo2 0.500 0.000 0.500
H1 0.000 0.000 0.500
Rh1 0.500 0.500 0.000

Output
Calculated density, g cm⁻³: 9.4
Space-group type: P4/mmm
Magnetic moment, μB/atom: 0.00
Polymorph energy (0 for the lowest one), meV/atom: 0
Crystal system: tetragonal